# 1
Y2TlTe, optimized geometry, DFT GGA-PBE; N(E_F) = 6.01 states/eV/f.u.
1.0
0.000 3.864 3.864
3.864 0.000 3.864
3.864 3.864 0.000
Y Tl Te
2 1 1
direct
0.000 0.000 0.000 Y
0.250 0.250 0.250 Y
0.750 0.750 0.750 Tl
0.500 0.500 0.500 Te

***

# 2
Y2TlTe, optimized geometry, DFT GGA-PBE; N(E_F) = 1.97 states/eV/f.u.
1.0
2.246 -11.949 0.000
2.246 11.949 0.000
0.000 0.000 4.329
Y Tl Te
4 2 2
direct
0.064 0.936 0.750 Y
0.323 0.677 0.750 Y
0.677 0.323 0.250 Y
0.936 0.064 0.250 Y
0.453 0.547 0.750 Tl
0.547 0.453 0.250 Tl
0.193 0.807 0.750 Te
0.807 0.193 0.250 Te

***

# 3
YTl2Te, optimized geometry, DFT GGA-PBE; N(E_F) = 3.51 states/eV/f.u.
1.0
2.004 1.157 8.889
-2.004 1.157 8.889
0.000 -2.314 8.889
Y Tl Te
1 2 1
direct
0.000 0.000 0.000 Y
0.245 0.245 0.245 Tl
0.755 0.755 0.755 Tl
0.500 0.500 0.500 Te

***

# 4
Y10Tl3Te3, optimized geometry, DFT GGA-PBE; N(E_F) = 8.87 states/eV/f.u.
1.0
9.018 0.000 0.000
-4.509 7.810 0.000
0.000 0.000 6.448
Y Tl Te
10 3 3
direct
0.000 0.239 0.000 Y
0.000 0.757 0.500 Y
0.239 0.000 0.000 Y
0.243 0.243 0.500 Y
0.333 0.667 0.249 Y
0.333 0.667 0.751 Y
0.667 0.333 0.249 Y
0.667 0.333 0.751 Y
0.757 0.000 0.500 Y
0.761 0.761 0.000 Y
0.000 0.608 0.000 Tl
0.392 0.392 0.000 Tl
0.608 0.000 0.000 Tl
0.000 0.388 0.500 Te
0.388 0.000 0.500 Te
0.612 0.612 0.500 Te

***

# 5
YTl2Te, optimized geometry, DFT GGA-PBE; N(E_F) = 3.77 states/eV/f.u.
1.0
0.000 3.874 3.874
3.874 0.000 3.874
3.874 3.874 0.000
Y Tl Te
1 2 1
direct
0.000 0.000 0.000 Y
0.500 0.500 0.500 Tl
0.750 0.750 0.750 Tl
0.250 0.250 0.250 Te

***

# 6
Y2TlTe, optimized geometry, DFT GGA-PBE; N(E_F) = 3.70 states/eV/f.u.
1.0
3.458 -4.185 0.000
3.458 4.185 0.000
0.000 0.000 3.802
Y Tl Te
2 1 1
direct
0.000 0.500 0.000 Y
0.500 0.000 0.000 Y
0.000 0.000 0.500 Tl
0.500 0.500 0.500 Te

***

# 7
Y2TlTe, optimized geometry, DFT GGA-PBE; N(E_F) = 3.76 states/eV/f.u.
1.0
1.966 1.135 9.757
-1.966 1.135 9.757
0.000 -2.270 9.757
Y Tl Te
2 1 1
direct
0.000 0.000 0.000 Y
0.237 0.237 0.237 Y
0.752 0.752 0.752 Tl
0.502 0.502 0.502 Te

***

# 8
Y4TlTe, optimized geometry, DFT GGA-PBE; N(E_F) = 6.63 states/eV/f.u.
1.0
4.765 -6.906 0.000
4.765 6.906 0.000
-4.042 0.000 5.530
Y Tl Te
8 2 2
direct
0.051 0.673 0.851 Y
0.251 0.378 0.731 Y
0.327 0.949 0.649 Y
0.378 0.251 0.231 Y
0.622 0.749 0.769 Y
0.673 0.051 0.351 Y
0.749 0.622 0.269 Y
0.949 0.327 0.149 Y
0.357 0.643 0.250 Tl
0.643 0.357 0.750 Tl
0.025 0.975 0.250 Te
0.975 0.025 0.750 Te

***

# 9
Y2TlTe2, optimized geometry, DFT GGA-PBE; N(E_F) = 7.01 states/eV/f.u.
1.0
-2.610 2.610 6.669
2.610 -2.610 6.669
2.610 2.610 -6.669
Y Tl Te
2 1 2
direct
0.250 0.750 0.500 Y
0.750 0.250 0.500 Y
0.000 0.000 0.000 Tl
0.364 0.364 0.000 Te
0.636 0.636 0.000 Te

***

# 10
Y8Tl3Te4, optimized geometry, DFT GGA-PBE; N(E_F) = 11.30 states/eV/f.u.
1.0
6.140 -6.144 0.000
6.140 6.144 0.000
-6.019 0.000 6.161
Y Tl Te
8 3 4
direct
0.240 0.240 0.991 Y
0.243 0.243 0.486 Y
0.245 0.755 0.000 Y
0.251 0.749 0.500 Y
0.749 0.251 0.500 Y
0.755 0.245 0.000 Y
0.757 0.757 0.514 Y
0.760 0.760 0.009 Y
0.000 0.000 0.500 Tl
0.000 0.500 0.500 Tl
0.500 0.000 0.500 Tl
0.000 0.500 0.000 Te
0.500 0.000 0.000 Te
0.500 0.500 0.000 Te
0.500 0.500 0.500 Te

***

# 11
Y2TlTe, optimized geometry, DFT GGA-PBE; N(E_F) = 4.05 states/eV/f.u.
1.0
3.688 0.000 0.000
0.000 3.698 0.000
-0.011 0.000 8.128
Y Tl Te
2 1 1
direct
0.000 0.000 0.240 Y
0.000 0.000 0.760 Y
0.500 0.500 0.500 Tl
0.500 0.500 0.000 Te

***

# 12
Y5TlTe2, optimized geometry, DFT GGA-PBE; N(E_F) = 10.30 states/eV/f.u.
1.0
3.041 -6.191 0.000
3.041 6.191 0.000
0.000 0.000 13.635
Y Tl Te
10 2 4
direct
0.059 0.941 0.612 Y
0.059 0.941 0.888 Y
0.373 0.627 0.250 Y
0.381 0.619 0.555 Y
0.381 0.619 0.945 Y
0.619 0.381 0.055 Y
0.619 0.381 0.445 Y
0.627 0.373 0.750 Y
0.941 0.059 0.112 Y
0.941 0.059 0.388 Y
0.262 0.738 0.750 Tl
0.738 0.262 0.250 Tl
0.187 0.813 0.089 Te
0.187 0.813 0.411 Te
0.813 0.187 0.589 Te
0.813 0.187 0.911 Te

***

# 13
Y6TlTe3, optimized geometry, DFT GGA-PBE; N(E_F) = 9.33 states/eV/f.u.
1.0
12.193 0.000 0.000
0.000 4.056 0.000
-3.067 0.000 12.389
Y Tl Te
12 2 6
direct
0.015 0.250 0.352 Y
0.080 0.250 0.885 Y
0.250 0.750 0.297 Y
0.287 0.750 0.758 Y
0.380 0.250 0.534 Y
0.445 0.750 0.116 Y
0.555 0.250 0.884 Y
0.620 0.750 0.466 Y
0.713 0.250 0.242 Y
0.750 0.250 0.703 Y
0.920 0.750 0.115 Y
0.985 0.750 0.648 Y
0.461 0.250 0.309 Tl
0.539 0.750 0.691 Tl
0.112 0.250 0.139 Te
0.171 0.750 0.512 Te
0.334 0.250 0.946 Te
0.666 0.750 0.054 Te
0.829 0.250 0.488 Te
0.888 0.750 0.861 Te

***

# 14
This record from Alexandria via LeMat-Bulk describes YTl3Te3 after structural relaxation. The functional is GGA-PBE.

POSCAR file:
```
YTl3Te3
1.0
-4.282 4.799 6.962
4.282 -4.799 6.962
4.282 4.799 -6.962
Y Tl Te
2 6 6
direct
0.460 0.210 0.250 Y
0.540 0.790 0.750 Y
0.000 0.265 0.265 Tl
0.000 0.735 0.735 Tl
0.003 0.753 0.250 Tl
0.500 0.265 0.765 Tl
0.500 0.735 0.235 Tl
0.997 0.247 0.750 Tl
0.245 0.995 0.250 Te
0.282 0.000 0.782 Te
0.282 0.500 0.282 Te
0.718 0.000 0.218 Te
0.718 0.500 0.718 Te
0.755 0.005 0.750 Te
```

***

# 15
Y2TlTe, optimized geometry, DFT GGA-PBE; N(E_F) = 1.92 states/eV/f.u.
1.0
3.627 -2.099 0.000
3.627 2.099 0.000
-2.435 0.000 7.845
Y Tl Te
2 1 1
direct
0.249 0.249 0.247 Y
0.751 0.751 0.753 Y
0.000 0.000 0.500 Tl
0.500 0.500 0.000 Te

***

# 16
Y4TlTe2, optimized geometry, DFT GGA-PBE; N(E_F) = 6.82 states/eV/f.u.
1.0
0.000 6.802 6.812
4.709 0.000 6.812
4.709 6.802 0.000
Y Tl Te
8 2 4
direct
0.122 0.317 0.318 Y
0.258 0.682 0.683 Y
0.317 0.122 0.742 Y
0.318 0.742 0.122 Y
0.682 0.258 0.878 Y
0.683 0.878 0.258 Y
0.742 0.318 0.317 Y
0.878 0.683 0.682 Y
0.375 0.375 0.375 Tl
0.625 0.625 0.625 Tl
0.000 0.000 0.000 Te
0.000 0.000 0.500 Te
0.000 0.500 0.000 Te
0.500 0.000 0.000 Te

***

# 17
Y2TlTe2, optimized geometry, DFT GGA-PBE; N(E_F) = 5.33 states/eV/f.u.
1.0
8.475 0.000 0.000
0.000 8.475 0.000
0.000 0.000 4.033
Y Tl Te
4 2 4
direct
0.154 0.346 0.000 Y
0.346 0.846 0.000 Y
0.654 0.154 0.000 Y
0.846 0.654 0.000 Y
0.000 0.000 0.000 Tl
0.500 0.500 0.000 Tl
0.146 0.646 0.500 Te
0.354 0.146 0.500 Te
0.646 0.854 0.500 Te
0.854 0.354 0.500 Te

***

# 18
Y2TlTe, optimized geometry, DFT GGA-PBE; N(E_F) = 3.32 states/eV/f.u.
1.0
-2.331 2.844 4.214
2.331 -2.844 4.214
2.331 2.844 -4.214
Y Tl Te
2 1 1
direct
0.245 0.245 0.000 Y
0.755 0.755 0.000 Y
0.500 0.000 0.500 Tl
0.000 0.500 0.500 Te

***

# 19
Y2Tl2Te, optimized geometry, DFT GGA-PBE; N(E_F) = 3.23 states/eV/f.u.
1.0
7.954 0.000 0.000
0.000 7.954 0.000
0.000 0.000 4.774
Y Tl Te
4 4 2
direct
0.162 0.338 0.000 Y
0.338 0.838 0.000 Y
0.662 0.162 0.000 Y
0.838 0.662 0.000 Y
0.143 0.643 0.500 Tl
0.357 0.143 0.500 Tl
0.643 0.857 0.500 Tl
0.857 0.357 0.500 Tl
0.000 0.000 0.000 Te
0.500 0.500 0.000 Te

***

# 20
YTl2Te, optimized geometry, DFT GGA-PBE; N(E_F) = 3.02 states/eV/f.u.
1.0
-4.441 4.441 3.148
4.441 -4.441 3.148
4.441 4.441 -3.148
Y Tl Te
2 4 2
direct
0.000 0.000 0.000 Y
0.750 0.250 0.500 Y
0.124 0.125 0.499 Tl
0.375 0.876 0.001 Tl
0.626 0.625 0.501 Tl
0.875 0.374 0.999 Tl
0.250 0.750 0.500 Te
0.500 0.500 0.000 Te

***

# 21
YTlTe4, optimized geometry, DFT GGA-PBE; N(E_F) = 0.84 states/eV/f.u.
1.0
6.837 0.000 0.000
0.000 6.837 0.000
0.000 0.000 8.732
Y Tl Te
2 2 8
direct
0.250 0.250 0.000 Y
0.750 0.750 0.000 Y
0.250 0.250 0.500 Tl
0.750 0.750 0.500 Tl
0.103 0.603 0.213 Te
0.103 0.897 0.787 Te
0.397 0.603 0.787 Te
0.397 0.897 0.213 Te
0.603 0.103 0.787 Te
0.603 0.397 0.213 Te
0.897 0.103 0.213 Te
0.897 0.397 0.787 Te

***

# 22
Y2TlTe2, optimized geometry, DFT GGA-PBE; N(E_F) = 6.17 states/eV/f.u.
1.0
8.707 0.000 0.000
0.000 8.707 0.000
0.000 0.000 3.867
Y Tl Te
4 2 4
direct
0.149 0.351 0.000 Y
0.351 0.851 0.000 Y
0.649 0.149 0.000 Y
0.851 0.649 0.000 Y
0.000 0.000 0.500 Tl
0.500 0.500 0.500 Tl
0.143 0.643 0.500 Te
0.357 0.143 0.500 Te
0.643 0.857 0.500 Te
0.857 0.357 0.500 Te

***

# 23
Y6TlTe8, optimized geometry, DFT GGA-PBE; N(E_F) = 12.16 states/eV/f.u.
1.0
11.725 0.000 0.000
-5.862 10.154 0.000
0.000 0.000 4.423
Y Tl Te
6 1 8
direct
0.135 0.650 0.251 Y
0.350 0.485 0.251 Y
0.485 0.135 0.749 Y
0.515 0.865 0.251 Y
0.650 0.515 0.749 Y
0.865 0.350 0.749 Y
0.000 0.000 0.500 Tl
0.046 0.351 0.250 Te
0.305 0.954 0.250 Te
0.333 0.667 0.751 Te
0.351 0.305 0.750 Te
0.649 0.695 0.250 Te
0.667 0.333 0.249 Te
0.695 0.046 0.750 Te
0.954 0.649 0.750 Te

***

| no. | M_tot (Bohr magnetons per cell) | formation energy from raw total energies (eV/atom) |
| --- | --- | --- |
| 1 | 0.00 | -0.0843 |
| 2 | 0.00 | -0.8814 |
| 3 | 0.00 | -0.0659 |
| 4 | 0.52 | -0.7024 |
| 5 | 0.00 | -0.3059 |
| 6 | 0.00 | -0.6708 |
| 7 | 1.39 | -0.3007 |
| 8 | 0.00 | -0.4706 |
| 9 | 0.00 | -0.6923 |
| 10 | 0.00 | -0.7875 |
| 11 | 0.02 | -0.7038 |
| 12 | 0.00 | -0.5308 |
| 13 | 1.05 | -0.8288 |
| 14 | 0.00 | -0.6743 |
| 15 | 0.00 | -0.8390 |
| 16 | 0.00 | -0.8031 |
| 17 | 0.00 | -0.9023 |
| 18 | 0.00 | -0.6396 |
| 19 | 0.00 | -0.5876 |
| 20 | 0.00 | -0.2348 |
| 21 | 0.00 | -0.7001 |
| 22 | 0.00 | -0.8582 |
| 23 | 0.01 | -1.2600 |